A relaxed Nd2GaGePb crystal, computed with GGA-PBE.

Output
The value obtained for the magnetic moment is 0.0 μB per formula unit. The formation energy comes out at -0.600 eV per atom. The crystal system is monoclinic.

Unit cell a=4.480 b=6.533 c=8.970 alpha=90.29 beta=90.00 gamma=90.00
Fractional positions:
Nd (0.750, 0.756, 0.967)
Nd (0.250, 0.244, 0.033)
Nd (0.250, 0.241, 0.467)
Nd (0.750, 0.759, 0.533)
Pb (0.750, 0.269, 0.749)
Pb (0.250, 0.731, 0.251)
Ge (0.250, 0.936, 0.752)
Ge (0.750, 0.064, 0.248)
Ga (0.250, 0.554, 0.747)
Ga (0.750, 0.446, 0.253)

---

A relaxed NdTc4P4 crystal, computed with GGA-PBE.

Output
The value obtained for the magnetic moment is 0.0 μB per formula unit. The formation energy comes out at -0.553 eV per atom. The crystal system is tetragonal.

Unit cell a=4.283 b=8.405 c=8.405 alpha=90.00 beta=90.00 gamma=90.00
Fractional positions:
Tc (0.592, 0.881, 0.653)
Tc (0.408, 0.347, 0.881)
Tc (0.092, 0.847, 0.381)
Tc (0.408, 0.653, 0.119)
Tc (0.592, 0.119, 0.347)
Tc (0.092, 0.153, 0.619)
Tc (0.908, 0.381, 0.153)
Tc (0.908, 0.619, 0.847)
P (0.911, 0.365, 0.767)
P (0.411, 0.733, 0.865)
P (0.589, 0.865, 0.267)
P (0.589, 0.135, 0.733)
P (0.089, 0.233, 0.365)
P (0.911, 0.635, 0.233)
P (0.089, 0.767, 0.635)
P (0.411, 0.267, 0.135)
Nd (0.500, 0.500, 0.500)
Nd (0.000, 0.000, 0.000)

---

A relaxed HgPW2 crystal, computed with GGA-PBE.

Output
The value obtained for the magnetic moment is 0.0 μB per formula unit. As for the energy above the most stable polymorph in this dataset: 6.9 kJ per mole of atoms. The formation energy comes out at 0.379 eV per atom. The crystal system is trigonal.

Unit cell a=9.203 b=9.203 c=9.203 alpha=18.91 beta=18.91 gamma=18.91
Fractional positions:
P (0.266, 0.266, 0.266)
W (0.740, 0.740, 0.740)
W (0.996, 0.996, 0.996)
Hg (0.498, 0.498, 0.498)

---

A relaxed Sm8P6Br crystal, computed with GGA-PBE.

Output
The value obtained for the magnetic moment is 0.0 μB per formula unit. For the formation energy (no corrections), the calculation gives -19.2 eV per formula unit. The crystal system is trigonal.

Unit cell a=4.209 b=10.856 c=10.856 alpha=120.00 beta=90.00 gamma=90.00
Fractional positions:
Sm (0.252, 0.667, 0.333)
Sm (0.748, 0.333, 0.667)
Sm (0.745, 0.964, 0.332)
Sm (0.745, 0.668, 0.632)
Sm (0.255, 0.332, 0.368)
Sm (0.255, 0.632, 0.964)
Sm (0.255, 0.036, 0.668)
Sm (0.745, 0.368, 0.036)
P (0.246, 0.334, 0.858)
P (0.754, 0.858, 0.524)
P (0.754, 0.476, 0.334)
P (0.246, 0.142, 0.476)
P (0.246, 0.524, 0.666)
P (0.754, 0.666, 0.142)
Br (0.500, 0.000, 0.000)

---

A relaxed Ga2Cu2Te crystal, computed with GGA-PBE.

Output
The value obtained for the magnetic moment is 0.0 μB per formula unit. As for the energy above the most stable polymorph in this dataset: 9.3 kJ per mole of atoms. For the formation energy (no corrections), the calculation gives 0.7 eV per formula unit. The crystal system is tetragonal.

Unit cell a=3.931 b=3.931 c=6.516 alpha=72.44 beta=72.44 gamma=90.00
Fractional positions:
Cu (0.750, 0.250, 0.500)
Cu (0.250, 0.750, 0.500)
Te (0.000, 0.000, 0.000)
Ga (0.611, 0.611, 0.777)
Ga (0.389, 0.389, 0.223)

---

A relaxed Y5CoTe2 crystal, computed with GGA-PBE.

Output
The value obtained for the magnetic moment is 0.0 μB per formula unit. For the formation energy (no corrections), the calculation gives -6.0 eV per formula unit. The crystal system is orthorhombic.

Unit cell a=7.983 b=8.597 c=12.463 alpha=90.00 beta=90.00 gamma=90.00
Fractional positions:
Y (0.671, 0.044, 0.430)
Y (0.160, 0.250, 0.800)
Y (0.871, 0.250, 0.186)
Y (0.171, 0.544, 0.070)
Y (0.171, 0.956, 0.070)
Y (0.129, 0.750, 0.814)
Y (0.450, 0.250, 0.001)
Y (0.550, 0.750, 0.999)
Y (0.340, 0.250, 0.300)
Y (0.329, 0.956, 0.570)
Y (0.329, 0.544, 0.570)
Y (0.371, 0.750, 0.314)
Y (0.829, 0.044, 0.930)
Y (0.950, 0.750, 0.499)
Y (0.050, 0.250, 0.501)
Y (0.671, 0.456, 0.430)
Y (0.829, 0.456, 0.930)
Y (0.660, 0.750, 0.700)
Y (0.840, 0.750, 0.200)
Y (0.629, 0.250, 0.686)
Co (0.421, 0.250, 0.511)
Co (0.921, 0.750, 0.989)
Co (0.079, 0.250, 0.011)
Co (0.579, 0.750, 0.489)
Te (0.441, 0.508, 0.825)
Te (0.559, 0.492, 0.175)
Te (0.559, 0.008, 0.175)
Te (0.941, 0.492, 0.675)
Te (0.059, 0.508, 0.325)
Te (0.941, 0.008, 0.675)
Te (0.059, 0.992, 0.325)
Te (0.441, 0.992, 0.825)

---

A relaxed Pu5Ag crystal, computed with GGA-PBE.

Output
The value obtained for the magnetic moment is 4.9 μB per formula unit. The formation energy comes out at 0.198 eV per atom. The crystal system is orthorhombic.

Unit cell a=3.118 b=5.295 c=8.538 alpha=108.06 beta=90.00 gamma=90.00
Site moments in Bohr magnetons follow the coordinates.
Fractional positions:
Ag (0.000, 0.000, 0.000)  0.01
Pu (0.500, 0.171, 0.342)  -4.90
Pu (0.000, 0.664, 0.329)  4.63
Pu (0.500, 0.500, 0.000)  5.35
Pu (0.000, 0.336, 0.671)  4.63
Pu (0.500, 0.829, 0.658)  -4.90

---

A relaxed Zr2VCoAs crystal, computed with GGA-PBE.

Output
The value obtained for the magnetic moment is 2.9 μB per formula unit. The formation energy comes out at 0.546 eV per atom. The crystal system is tetragonal.

Unit cell a=5.006 b=4.414 c=5.006 alpha=90.00 beta=90.00 gamma=90.00
Site moments in Bohr magnetons follow the coordinates.
Fractional positions:
V (0.000, 0.500, 0.000)  1.19
Zr (0.500, 0.000, 0.000)  -0.09
Zr (0.000, 0.000, 0.500)  -0.12
As (0.000, 0.000, 0.000)  -0.02
Co (0.500, 0.500, 0.500)  1.97

---

no.,total energy (eV/atom)
1,-4.777
2,-8.095
3,-7.526
4,-6.074
5,-3.339
6,-6.468
7,-12.221
8,-7.048